Compound: V2PdPbO8
Source: the Alexandria database
Functional: PBE+U
Structure: optimized geometry

Output
* uncorrected energy: -79.23 eV for the cell shown
* crystal system: trigonal

a = 5.2376 Å, b = 5.2376 Å, c = 7.1938 Å
α = 90.00°, β = 90.00°, γ = 120.00°
Last column: nearest neighbours and their distance in Å.
Sites, in units of the cell vectors:
1 V 0.3333 0.6667 0.2352  4 O 1.68-1.77
2 V 0.6667 0.3333 0.7648  4 O 1.68-1.77
3 Pd 0.0000 0.0000 0.0000  6 O 2.00
4 Pb 0.0000 0.0000 0.5000  12 O 2.81-3.03
5 O 0.0379 0.3140 0.1745  1 V 1.77
6 O 0.2761 0.9621 0.1745  1 V 1.77
7 O 0.3140 0.2761 0.8255  1 V 1.77
8 O 0.3333 0.6667 0.4690  1 V 1.68
9 O 0.6667 0.3333 0.5310  1 V 1.68
10 O 0.6860 0.7239 0.1745  1 V 1.77
11 O 0.7239 0.0379 0.8255  1 V 1.77
12 O 0.9621 0.6860 0.8255  1 V 1.77

Compound: NiPdNF2
Source: the Alexandria database
Functional: PBE+U
Structure: optimized geometry

Output
* uncorrected energy: -18.43 eV for the cell shown
* crystal system: tetragonal
* polymorph energy (0 for the lowest one): 361 meV/atom

a = 4.4101 Å, b = 4.4101 Å, c = 3.7017 Å
α = 90.00°, β = 90.00°, γ = 90.00°
Last column: nearest neighbours and their distance in Å.
Sites, in units of the cell vectors:
1 Ni 0.0000 0.0000 0.0000  8 F 2.88, 4 N 3.12
2 Pd 0.5000 0.5000 0.5000  2 N 1.85
3 N 0.5000 0.5000 0.0000  2 Pd 1.85
4 F 0.0000 0.5000 0.5000  2 Pd 2.21
5 F 0.5000 0.0000 0.5000  2 Pd 2.21

- Number 2 is which compound?
  NiPdNF2

- What is the uncorrected energy in the second record?
  -18.43 eV for the cell shown